TeMo2Pb | Alexandria | PBE-GGA | relaxed; calculated density = 10.1 g/cm3; offset from the most stable computed form = 0.350 eV/atom; total magnetization = 0.00 μB per atom; crystal system = monoclinic
1.0
4.7300 0.0000 0.0000
0.0000 3.3776 0.0104
0.0000 0.7470 5.4455
Te Mo Pb
1 2 1
Direct
0.5000 0.8593 0.7938
0.5000 0.2945 0.1760
0.0000 0.9610 0.0470
0.0000 0.3852 0.4833



TeMo2Pb | Alexandria | PBE-GGA | relaxed; calculated density = 9.1 g/cm3; offset from the most stable computed form = 0.106 eV/atom; total magnetization = 0.00 μB per atom; crystal system = trigonal
1.0
-5.7256 7.2147 -5.2569
-4.1578 5.8772 -7.7872
-6.9033 4.5164 -6.6646
Mo Te Pb
2 1 1
Direct
0.2675 0.2675 0.2675
0.9896 0.9896 0.9896
0.7247 0.7247 0.7247
0.5182 0.5182 0.5182



Te2MoPb | Alexandria | PBE-GGA | relaxed; calculated density = 8.7 g/cm3; total magnetization = 0.85 μB per atom; crystal system = tetragonal
1.0
5.3491 0.0000 0.0000
0.0000 5.3440 0.0000
0.0000 0.0000 3.7348
Te Mo Pb
2 1 1
Direct
0.5000 0.5000 0.0000
0.0000 0.0000 0.0000
0.5000 0.0000 0.5000
0.0000 0.5000 0.5000



Per-record formation energy (no corrections), eV per atom: 0.57; 0.32; 0.53